An optimized crystal structure of VBI2O. Source: Alexandria, functional GGA+U.

Cell and atoms, written as POSCAR:
```
VBI2O
1.0
5.664 0.000 0.000
0.000 5.664 0.000
0.000 0.000 3.703
V B I O
1 1 2 1
direct
0.000 0.000 0.000
0.500 0.500 0.500
0.000 0.500 0.000
0.500 0.000 0.000
0.000 0.000 0.500
```

Computed properties:
Relative energy among the computed polymorphs ... 0 meV per atom
Density of states at the Fermi level ... 2.70 states/eV/f.u.
Symmetry ... P4/mmm (123)
E ... -4.11 eV/atom